No. 1
This record from Alexandria via LeMat-Bulk describes a relaxed NaTcBi2O6 crystal. The functional is PBE.

Cell: 10.910 9.388 6.217 Å, 90.00 94.35 90.00°
Space group C2/c (No. 15)
Asymmetric unit:
Na1 0.000 0.086 0.250 (multiplicity 4)
Tc1 0.000 0.257 0.750 (multiplicity 4)
Bi1 0.173 0.377 0.189 (multiplicity 8)
O1 0.029 0.305 0.461 (multiplicity 8)
O2 0.117 0.112 0.831 (multiplicity 8)
O3 0.154 0.410 0.826 (multiplicity 8)

As for the energy: -6.191 eV per atom. For the spin magnetization, the calculation gives 0.20 μB/atom. The calculation puts the formation energy without anion corrections at -12.71 eV per formula unit.

=====

No. 2
This record from Alexandria via LeMat-Bulk describes a relaxed NaTcBiO5 crystal. The functional is PBE.

Cell: 7.340 9.864 8.157 Å, 90.00 111.07 90.00°
Space group C2/c (No. 15)
Asymmetric unit:
Na1 0.000 0.181 0.250 (multiplicity 4)
Tc1 0.000 0.172 0.750 (multiplicity 4)
Bi1 0.000 0.500 0.000 (multiplicity 4)
O1 0.000 0.410 0.250 (multiplicity 4)
O2 0.123 0.284 0.650 (multiplicity 8)
O3 0.157 0.063 0.918 (multiplicity 8)

As for the energy: -6.372 eV per atom. For the spin magnetization, the calculation gives 0.13 μB/atom. The calculation puts the formation energy without anion corrections at -10.62 eV per formula unit.

=====

No. 3
This record from Alexandria via LeMat-Bulk describes a relaxed NaTcBi2O8 crystal. The functional is PBE.

Cell: 5.002 6.847 5.025 Å, 90.00 90.28 90.00°
Space group P2/m (No. 10)
Asymmetric unit:
Na1 0.000 0.000 0.000 (multiplicity 1)
Tc1 0.000 0.500 0.000 (multiplicity 1)
Bi1 0.500 0.247 0.500 (multiplicity 2)
O1 0.185 0.301 0.179 (multiplicity 4)
O2 0.277 0.500 0.717 (multiplicity 2)
O3 0.310 0.000 0.685 (multiplicity 2)

As for the energy: -6.031 eV per atom. For the spin magnetization, the calculation gives 0.00 μB/atom. The calculation puts the formation energy without anion corrections at -13.26 eV per formula unit.

=====

No. 4
This record from Alexandria via LeMat-Bulk describes a relaxed NaBiTeO6 crystal. The functional is PBE.

Cell: 4.959 4.959 9.732 Å, 90.00 90.00 90.00°
Space group P4_2nm (No. 102)
Asymmetric unit:
Na1 0.000 0.000 0.000 (multiplicity 2)
Bi1 0.000 0.000 0.330 (multiplicity 2)
Te1 0.000 0.000 0.667 (multiplicity 2)
O1 0.182 0.182 0.513 (multiplicity 4)
O2 0.192 0.192 0.814 (multiplicity 4)
O3 0.219 0.219 0.172 (multiplicity 4)

As for the energy: -5.236 eV per atom. For the spin magnetization, the calculation gives 0.00 μB/atom. The calculation puts the formation energy without anion corrections at -9.03 eV per formula unit.

=====

No. 5
This record from Alexandria via LeMat-Bulk describes a relaxed NaBiTe2O8 crystal. The functional is PBE.

Cell: 5.356 5.356 11.643 Å, 90.00 90.00 90.00°
Space group I-4 (No. 82)
Asymmetric unit:
Na1 0.000 0.000 0.000 (multiplicity 2)
Bi1 0.000 0.500 0.750 (multiplicity 2)
Te1 0.000 0.000 0.500 (multiplicity 2)
Te2 0.000 0.500 0.250 (multiplicity 2)
O1 0.163 0.242 0.587 (multiplicity 8)
O2 0.170 0.743 0.167 (multiplicity 8)

As for the energy: -5.345 eV per atom. For the spin magnetization, the calculation gives 0.00 μB/atom. The calculation puts the formation energy without anion corrections at -12.99 eV per formula unit.

=====

No. 6
This record from Alexandria via LeMat-Bulk describes a relaxed NaBi2TeO8 crystal. The functional is PBE.

Cell: 6.918 7.118 6.857 Å, 90.00 90.00 90.00°
Space group Cmmm (No. 65)
Asymmetric unit:
Na1 0.000 0.000 0.000 (multiplicity 2)
Bi1 0.000 0.500 0.245 (multiplicity 4)
Te1 0.000 0.000 0.500 (multiplicity 2)
O1 0.000 0.286 0.500 (multiplicity 4)
O2 0.000 0.313 0.000 (multiplicity 4)
O3 0.185 0.000 0.287 (multiplicity 8)

As for the energy: -5.311 eV per atom. For the spin magnetization, the calculation gives 0.00 μB/atom. The calculation puts the formation energy without anion corrections at -11.84 eV per formula unit.